CdBrF | the Alexandria database | GGA-PBE | optimized geometry; space-group type = P-1; formation energy (no corrections) = -1506 meV per atom; polymorph energy (0 for the lowest one) = 0.000 eV per formula unit
1.0
3.8507 0.0000 0.0000
0.0005 6.3993 0.0000
0.0413 2.8663 6.3371
Cd Br F
2 2 2
direct
0.2498 0.2365 0.0090
0.7502 0.7635 0.9910
0.2529 0.6912 0.7299
0.7471 0.3088 0.2701
0.2486 0.8475 0.1329
0.7514 0.1525 0.8671